No. 1
Here is a geometry-optimized ScBe2Br structure from Alexandria via LeMat-Bulk. Energies are from GGA-PBEsol.

Structure (POSCAR):
```
ScBe2Br
1.0
-1.7508 2.0731 4.1862
1.7508 -2.0731 4.1862
1.7508 2.0731 -4.1862
Sc Be Br
1 2 1
Cartesian
0.0000 0.0000 0.0000 Sc
1.7508 0.0000 2.1370 Be
0.0000 0.0000 3.8501 Be
0.0000 2.0731 2.0261 Br
```

Results
Total magnetic moment   0.00 μB per formula unit
DFT total energy   -15.5 eV per cell
SG   Imm2, No. 44



No. 2
Here is a geometry-optimized BeSe4Br structure from Alexandria via LeMat-Bulk. Energies are from GGA-PBEsol.

Structure (POSCAR):
```
BeSe4Br
1.0
0.0000 3.9567 3.9567
3.9567 0.0000 3.9567
3.9567 3.9567 0.0000
Be Se Br
1 4 1
Cartesian
0.0000 0.0000 0.0000 Be
4.9554 2.9579 2.9579 Se
2.9579 4.9554 2.9579 Se
2.9579 2.9579 4.9554 Se
4.9554 4.9554 4.9554 Se
1.9783 1.9783 1.9783 Br
```

Results
Total magnetic moment   0.00 μB per formula unit
DFT total energy   -17.0 eV per cell
SG   F-43m, No. 216



No. 3
Here is a geometry-optimized BeTcSeBr2 structure from Alexandria via LeMat-Bulk. Energies are from GGA-PBEsol.

Structure (POSCAR):
```
BeTcSeBr2
1.0
4.5243 0.0000 0.0000
0.0000 4.5243 0.0000
0.0000 0.0000 5.0952
Be Tc Se Br
1 1 1 2
Cartesian
0.0000 0.0000 0.0000 Be
2.2622 2.2622 2.5476 Tc
0.0000 0.0000 2.5476 Se
0.0000 2.2622 0.0000 Br
2.2622 0.0000 0.0000 Br
```

Results
Total magnetic moment   4.93 μB per formula unit
DFT total energy   -19.9 eV per cell
SG   P4/mmm, No. 123



No. 4
Here is a geometry-optimized BeWSeBr2 structure from Alexandria via LeMat-Bulk. Energies are from GGA-PBEsol.

Structure (POSCAR):
```
BeWSeBr2
1.0
5.0747 0.0000 0.0000
0.0000 5.0747 0.0000
0.0000 0.0000 4.8073
Be W Se Br
1 1 1 2
Cartesian
0.0000 0.0000 0.0000 Be
2.5374 2.5374 2.4037 W
2.5374 2.5374 0.0000 Se
0.0000 2.5374 2.4037 Br
2.5374 0.0000 2.4037 Br
```

Results
Total magnetic moment   0.17 μB per formula unit
DFT total energy   -21.6 eV per cell
SG   P4/mmm, No. 123